5
Lattice="-2.463 -0.646 2.938 3.936 -1.209 3.034 0.409 4.896 1.420" Properties=species:S:1:pos:R:3 comment="ZrAsP2O (meta-GGA SCAN, single point on PBEsol structure)" total_magnetization_mub_per_cell=0.00 vol_a3_per_atom=20.3 total_energy_ev_per_cell=-79.51 n_ef_per_ev_cell=3.4 pbc="T T T"
P 0.204 2.448 0.710
Zr 0.000 0.000 0.000
O -1.232 -0.323 1.469
P 1.968 -0.604 1.517
As 0.941 1.521 3.696